TcAgAs | PBEsol | optimized geometry

Unit cell a=4.3249 b=4.3249 c=4.3249 alpha=60.00 beta=60.00 gamma=60.00
Site moments in Bohr magnetons follow the coordinates.
Fractional coordinates of all 3 atoms:
Tc 0.5000 0.5000 0.5000  2.49
Ag 0.7500 0.7500 0.7500  0.13
As 0.0000 0.0000 0.0000  -0.02

V   19.1 A^3/atom
Theoretical density   8.15 g/cm³
Relative energy among the computed polymorphs   920.6 meV/atom
Formation energy   1.130 eV/atom
Total magnetic moment   2.804 μB per cell